Entry 1:
Density functional theory data (PBE) for a geometry-optimized K2RbTmF6 structure.

Results
Calculated total energy (eV/atom): -5.25
Volume (A^3/atom): 20.04
Uncorrected formation energy (meV/atom): -3367

POSCAR file:
```
K2RbTmF6
1.0
-2.881 5.585 1.385
-3.475 -3.019 4.949
6.641 2.202 6.006
K Rb Tm F
4 2 2 12
Direct
0.011 0.953 0.267
0.511 0.547 0.767
0.989 0.047 0.733
0.489 0.453 0.233
0.500 0.000 0.000
0.000 0.500 0.500
0.500 0.000 0.500
0.000 0.500 0.000
0.281 0.660 0.038
0.781 0.840 0.538
0.719 0.340 0.962
0.219 0.160 0.462
0.348 0.742 0.411
0.848 0.758 0.911
0.652 0.258 0.589
0.152 0.242 0.089
0.881 0.583 0.212
0.381 0.917 0.712
0.119 0.417 0.788
0.619 0.083 0.288
```



Entry 2:
Density functional theory data (PBE) for a geometry-optimized Dy3ZnCd3 structure.

Results
Calculated total energy (eV/atom): -2.82
Volume (A^3/atom): 24.78

POSCAR file:
```
Dy3ZnCd3
1.0
4.731 0.000 -1.032
-0.173 3.417 -0.794
-0.164 0.650 10.606
Dy Zn Cd
3 1 3
Direct
0.305 0.805 0.609
0.701 0.201 0.401
0.995 0.995 0.991
0.432 0.432 0.865
0.143 0.643 0.287
0.860 0.360 0.719
0.564 0.564 0.128
```



Entry 3:
Density functional theory data (PBE) for a geometry-optimized TiMnFe2 structure.

Results
Calculated total energy (eV/atom): -8.16
Volume (A^3/atom): 13.21

POSCAR file:
```
TiMnFe2
1.0
6.543 0.000 0.000
0.000 6.543 0.000
3.271 3.271 2.468
Mn Fe Ti
2 4 2
Direct
0.000 0.000 0.000
0.750 0.250 0.500
0.640 0.125 0.250
0.110 0.625 0.250
0.375 0.360 0.750
0.875 0.890 0.750
0.500 0.500 0.000
0.250 0.750 0.500
```



Entry 4:
Density functional theory data (PBE) for a geometry-optimized Tb2Si4Pd3Pt structure.

Results
Calculated total energy (eV/atom): -6.19
Volume (A^3/atom): 17.40
Uncorrected formation energy (meV/atom): -934

POSCAR file:
```
Tb2Si4Pd3Pt
1.0
-1.590 3.070 -2.360
-3.860 -1.464 0.696
-0.747 5.788 8.034
Tb Si Pd Pt
2 4 3 1
Direct
0.500 0.000 0.247
0.000 0.500 0.753
0.500 0.500 0.000
0.000 0.000 0.000
0.500 0.000 0.633
0.000 0.500 0.367
0.000 0.000 0.500
0.500 0.000 0.875
0.000 0.500 0.125
0.500 0.500 0.500
```